# MnHgF2 | the Alexandria database | PBE+U | relaxed
data_MnHgF2
_chemical_formula_sum 'Mn1 Hg1 F2'
_space_group_name_H-M_alt 'P 1'
_space_group_IT_number 1
_cell_length_a 9.0061
_cell_length_b 9.0061
_cell_length_c 9.0061
_cell_angle_alpha 21.62
_cell_angle_beta 21.62
_cell_angle_gamma 21.62
loop_
_space_group_symop_operation_xyz
'x,y,z'
loop_
_atom_site_label
_atom_site_fract_x
_atom_site_fract_y
_atom_site_fract_z
_atom_site_occupancy
Mn1 0.5000 0.5000 0.5000 1
Hg1 0.0000 0.0000 0.0000 1
F1 0.8694 0.8694 0.8694 1
F2 0.1306 0.1306 0.1306 1
# * distance to the lowest polymorph of the same formula: 0.000 eV/atom
# * total moment: 5.00 μB per formula unit
# * symmetry: No. 166